1.
Density functional theory data (GGA-PBE) for a relaxed TlBr crystal.

Geometry as POSCAR:
```
TlBr
1.0
-0.052 -2.495 4.071
-2.610 -3.985 0.324
2.156 -4.255 0.220
Tl Br
1 1
Direct
0.500 0.500 0.500
0.000 0.000 0.000
```

Output
energy above the lowest structure with this stoichiometry	0.00	eV/f.u.
V	38.489	Å³/atom
SG	Fm-3m, No. 225
electronic total energy	-2.88	eV per atom
density	6.133	g cm⁻³
E_form (uncorrected)	-0.863	eV per atom
N(E_F)	0.00	states/eV per cell

=====

2.
Density functional theory data (GGA-PBE) for a relaxed Tl2Br crystal.

Geometry as POSCAR:
```
Tl2Br
1.0
4.651 -8.056 0.000
4.651 8.056 0.000
0.000 0.000 4.053
Tl Br
6 3
Direct
0.284 0.000 0.000
0.000 0.284 0.000
0.716 0.716 0.000
0.615 0.000 0.500
0.000 0.615 0.500
0.385 0.385 0.500
0.333 0.667 0.000
0.667 0.333 0.000
0.000 0.000 0.500
```

Output
energy above the lowest structure with this stoichiometry	0.30	eV/f.u.
V	33.744	Å³/atom
SG	P-62m, No. 189
electronic total energy	-2.48	eV per atom
density	8.016	g cm⁻³
E_form (uncorrected)	-0.346	eV per atom
N(E_F)	6.04	states/eV per cell

=====

3.
Density functional theory data (GGA-PBE) for a relaxed TlBr4 crystal.

Geometry as POSCAR:
```
TlBr4
1.0
5.619 0.000 0.000
0.000 5.619 0.000
0.000 0.000 5.619
Tl Br
1 4
Direct
0.500 0.500 0.500
0.000 0.000 0.000
0.500 0.000 0.500
0.000 0.500 0.500
0.500 0.500 0.000
```

Output
energy above the lowest structure with this stoichiometry	1.72	eV/f.u.
V	35.488	Å³/atom
SG	Pm-3m, No. 221
electronic total energy	-1.81	eV per atom
density	4.904	g cm⁻³
E_form (uncorrected)	0.000	eV per atom
N(E_F)	6.13	states/eV per cell

=====

4.
Density functional theory data (GGA-PBE) for a relaxed TlBr crystal.

Geometry as POSCAR:
```
TlBr
1.0
6.550 0.010 0.027
5.064 4.155 0.027
2.991 1.073 8.092
Br Tl
3 3
Direct
0.927 0.927 0.007
0.751 0.751 0.654
0.590 0.590 0.301
0.336 0.336 0.303
0.032 0.032 0.604
0.198 0.198 0.965
```

Output
energy above the lowest structure with this stoichiometry	0.07	eV/f.u.
V	36.581	Å³/atom
SG	Cm, No. 8
electronic total energy	-2.85	eV per atom
density	6.452	g cm⁻³
E_form (uncorrected)	-0.827	eV per atom
N(E_F)	0.00	states/eV per cell

=====

5.
Density functional theory data (GGA-PBE) for a relaxed TlBr3 crystal.

Geometry as POSCAR:
```
TlBr3
1.0
-5.703 -1.034 -3.040
2.770 -4.800 3.483
-3.694 2.323 6.140
Tl Br
2 6
Direct
0.333 0.667 0.250
0.667 0.333 0.750
0.831 0.662 0.250
0.338 0.169 0.250
0.831 0.169 0.250
0.169 0.338 0.750
0.662 0.831 0.750
0.169 0.831 0.750
```

Output
V	34.934	Å³/atom
SG	P6_3/mmc, No. 194
electronic total energy	-1.96	eV per atom
density	5.277	g cm⁻³
E_form (uncorrected)	-0.115	eV per atom
N(E_F)	7.87	states/eV per cell

=====

6.
Density functional theory data (GGA-PBE) for a relaxed TlBr4 crystal.

Geometry as POSCAR:
```
TlBr4
1.0
0.572 -4.558 3.942
-5.413 2.615 0.710
0.482 -2.140 -5.642
Tl Br
1 4
Direct
0.000 0.000 0.000
0.500 0.000 0.000
0.500 0.500 0.500
0.000 0.500 0.000
0.000 0.000 0.500
```

Output
energy above the lowest structure with this stoichiometry	1.90	eV/f.u.
V	34.149	Å³/atom
SG	Im-3m, No. 229
electronic total energy	-1.78	eV per atom
density	5.096	g cm⁻³
E_form (uncorrected)	0.035	eV per atom
N(E_F)	9.30	states/eV per cell

=====

7.
Density functional theory data (GGA-PBE) for a relaxed Tm3Tl6Br14 crystal.

Geometry as POSCAR:
```
Tm3Tl6Br14
1.0
7.311 0.000 0.000
0.000 10.409 -6.010
0.000 0.000 12.019
Tm Tl Br
3 6 14
Direct
0.821 0.000 0.000
0.362 0.333 0.667
0.452 0.667 0.333
0.246 0.790 0.095
0.246 0.905 0.695
0.246 0.305 0.210
0.800 0.520 0.534
0.800 0.466 0.987
0.800 0.013 0.480
0.963 0.074 0.227
0.963 0.773 0.847
0.963 0.153 0.926
0.498 0.242 0.435
0.498 0.565 0.807
0.498 0.193 0.758
0.460 0.000 0.000
0.001 0.333 0.667
0.671 0.755 0.203
0.671 0.797 0.552
0.671 0.448 0.245
0.238 0.589 0.474
0.238 0.526 0.115
0.238 0.885 0.411
```

Output
V	39.768	Å³/atom
SG	P3, No. 143
electronic total energy	-3.47	eV per atom
density	5.177	g cm⁻³
E_form (uncorrected)	-1.255	eV per atom
N(E_F)	8.28	states/eV per cell

=====

8.
Density functional theory data (GGA-PBE) for a relaxed TmTl2Br6 crystal.

Geometry as POSCAR:
```
TmTl2Br6
1.0
-2.750 2.839 0.300
0.040 -0.839 8.317
5.997 6.190 -3.605
Tm Tl Br
1 2 6
Direct
0.500 0.963 0.000
0.000 0.333 0.671
0.000 0.662 0.329
0.500 0.609 0.000
0.500 0.435 0.424
0.500 0.011 0.576
0.000 0.219 0.000
0.000 0.770 0.770
0.000 0.999 0.230
```

Output
V	30.762	Å³/atom
SG	Amm2, No. 38
electronic total energy	-3.23	eV per atom
density	6.341	g cm⁻³
E_form (uncorrected)	-1.093	eV per atom
N(E_F)	8.00	states/eV per cell

=====

9.
Density functional theory data (GGA-PBE) for a relaxed TmTl4Br7 crystal.

Geometry as POSCAR:
```
TmTl4Br7
1.0
5.183 0.000 -1.693
-1.342 6.661 -4.110
0.946 1.995 11.678
Tm Tl Br
1 4 7
Direct
0.000 0.000 0.000
0.416 0.471 0.833
0.584 0.529 0.167
0.308 0.869 0.616
0.692 0.131 0.384
0.109 0.315 0.218
0.891 0.685 0.782
0.927 0.203 0.853
0.073 0.797 0.147
0.723 0.773 0.445
0.500 0.000 0.000
0.277 0.227 0.555
```

Output
V	38.407	Å³/atom
SG	C2/m, No. 12
electronic total energy	-3.31	eV per atom
density	5.569	g cm⁻³
E_form (uncorrected)	-1.174	eV per atom
N(E_F)	0.00	states/eV per cell

=====

10.
Density functional theory data (GGA-PBE) for a relaxed TmTl3Br6 crystal.

Geometry as POSCAR:
```
TmTl3Br6
1.0
7.757 0.000 0.182
0.000 8.574 0.000
0.362 0.000 11.305
Tm Tl Br
2 6 12
Direct
0.500 0.500 0.500
0.000 0.000 0.000
0.530 0.922 0.768
0.500 0.500 0.000
0.470 0.078 0.232
0.030 0.578 0.268
0.000 0.000 0.500
0.970 0.422 0.732
0.704 0.167 0.956
0.658 0.229 0.578
0.632 0.439 0.271
0.368 0.561 0.729
0.342 0.771 0.422
0.296 0.833 0.044
0.204 0.333 0.456
0.158 0.271 0.078
0.132 0.061 0.771
0.868 0.939 0.229
0.842 0.729 0.922
0.796 0.667 0.544
```

Output
V	37.566	Å³/atom
SG	P2_1/c, No. 14
electronic total energy	-3.44	eV per atom
density	5.576	g cm⁻³
E_form (uncorrected)	-1.281	eV per atom
N(E_F)	0.00	states/eV per cell

=====

11.
Density functional theory data (GGA-PBE) for a relaxed TmTlVBr6 crystal.

Geometry as POSCAR:
```
TmTlVBr6
1.0
-4.008 3.465 -4.557
4.943 -4.367 -2.309
-9.882 -11.257 0.132
Tm Tl V Br
2 2 2 12
Direct
0.667 0.333 0.250
0.333 0.667 0.750
0.000 0.000 0.000
0.000 0.000 0.500
0.333 0.667 0.250
0.667 0.333 0.750
0.626 0.640 0.146
0.014 0.374 0.146
0.374 0.014 0.646
0.986 0.626 0.854
0.360 0.374 0.354
0.014 0.640 0.354
0.640 0.014 0.854
0.626 0.986 0.354
0.986 0.360 0.646
0.360 0.986 0.146
0.640 0.626 0.646
0.374 0.360 0.854
```

Output
V	35.197	Å³/atom
SG	P-31c, No. 163
electronic total energy	-4.18	eV per atom
density	4.737	g cm⁻³
E_form (uncorrected)	-1.289	eV per atom

=====

12.
Density functional theory data (GGA-PBE) for a relaxed UTl3Br8 crystal.

Geometry as POSCAR:
```
UTl3Br8
1.0
7.525 0.000 0.000
0.000 7.525 0.000
0.000 0.000 7.525
U Tl Br
1 3 8
Direct
0.000 0.000 0.000
0.500 0.500 0.000
0.500 0.000 0.500
0.000 0.500 0.500
0.224 0.224 0.776
0.224 0.776 0.224
0.776 0.224 0.224
0.776 0.776 0.776
0.776 0.776 0.224
0.776 0.224 0.776
0.224 0.776 0.776
0.224 0.224 0.224
```

Output
V	35.510	Å³/atom
SG	Pm-3m, No. 221
electronic total energy	-3.59	eV per atom
density	5.808	g cm⁻³
E_form (uncorrected)	-0.942	eV per atom
N(E_F)	7.73	states/eV per cell

=====

Q: Which formula does entry 12 have?
A: UTl3Br8